Density functional theory data (PBE-GGA) for CsRbLi2Cl4 after structural relaxation.

Unit cell a=5.090 b=5.090 c=9.353 alpha=90.00 beta=90.00 gamma=90.00
Space group P4/mmm (No. 123)
Asymmetric unit:
Cs: 0.000 0.000 0.000 (multiplicity 1)
Rb: 0.000 0.000 0.500 (multiplicity 1)
Li: 0.500 0.500 0.265 (multiplicity 2)
Cl: 0.000 0.500 0.262 (multiplicity 4)

D(E_F) in states/eV per cell: 0.000
E_form (uncorrected) in eV/atom: -1.7958
M_tot in μB/cell: 0.00


Density functional theory data (PBE-GGA) for ErTm3Ir after structural relaxation.

Unit cell a=11.591 b=8.506 c=7.870 alpha=90.00 beta=132.65 gamma=90.00
Space group C2/m (No. 12)
Asymmetric unit:
Er: 0.054 0.000 0.345 (multiplicity 4)
Tm: 0.055 0.500 0.262 (multiplicity 4)
Tm: 0.249 0.304 0.791 (multiplicity 8)
Ir: 0.249 0.500 0.122 (multiplicity 4)

D(E_F) in states/eV per cell: 23.642
M_tot in μB/cell: 2.50
Total DFT energy (no corrections) in eV per atom: -5.7913


Among the records above, which one has the highest M_tot?
ErTm3Ir


Which value of M_tot does entry 2 give?
2.50 μB/cell


The lowest D(E_F) belongs to which entry?
CsRbLi2Cl4